Below is an optimized crystal structure of GeBMo, with properties calculated at the PBE-GGA level.

## Properties
- calculated volume (Å³ per cell) = 39.26
- E_tot (eV per atom) = -6.79

Lattice parameters (Å, degrees): 3.815 3.815 3.815 60.00 60.00 60.00
Positions (direct):
B1 0.000 0.000 0.000
Ge1 0.250 0.250 0.250
Mo1 0.750 0.750 0.750

***

Below is an optimized crystal structure of PrSi2Ir, with properties calculated at the PBE-GGA level.

## Properties
- calculated volume (Å³ per cell) = 152.08
- E_tot (eV per atom) = -6.81

Lattice parameters (Å, degrees): 4.201 6.088 5.946 90.00 90.00 90.00
Positions (direct):
Ir1 0.500 0.911 0.173
Ir2 0.000 0.089 0.673
Pr1 0.500 0.396 0.369
Pr2 0.000 0.604 0.869
Si1 0.000 0.119 0.094
Si2 0.000 0.780 0.363
Si3 0.500 0.881 0.594
Si4 0.500 0.220 0.863

***

Below is an optimized crystal structure of LiYTlHg, with properties calculated at the PBE-GGA level.

## Properties
- calculated volume (Å³ per cell) = 93.34
- E_tot (eV per atom) = -3.16

Lattice parameters (Å, degrees): 5.092 5.092 5.092 60.00 60.00 60.00
Positions (direct):
Hg1 0.750 0.750 0.750
Li1 0.500 0.500 0.500
Tl1 0.250 0.250 0.250
Y1 0.000 0.000 0.000

***

Below is an optimized crystal structure of CsRbTcS3, with properties calculated at the PBE-GGA level.

## Properties
- calculated volume (Å³ per cell) = 392.79
- E_tot (eV per atom) = -4.93

Lattice parameters (Å, degrees): 7.035 7.781 8.800 74.59 66.59 63.33
Positions (direct):
Cs1 0.312 0.591 0.307
Cs2 0.688 0.409 0.693
Rb1 0.087 0.195 0.137
Rb2 0.913 0.805 0.863
S1 0.615 0.159 0.114
S2 0.809 0.641 0.270
S3 0.252 0.989 0.496
S4 0.748 0.011 0.504
S5 0.191 0.359 0.730
S6 0.385 0.841 0.886
Tc1 0.614 0.944 0.340
Tc2 0.386 0.056 0.660

***

Below is an optimized crystal structure of Cu11Sb3, with properties calculated at the PBE-GGA level.

## Properties
- calculated volume (Å³ per cell) = 197.91
- E_tot (eV per atom) = -3.74

Lattice parameters (Å, degrees): 4.304 4.791 9.891 104.02 90.00 90.00
Positions (direct):
Cu1 0.000 0.806 0.000
Cu2 0.000 0.423 0.146
Cu3 0.500 0.728 0.146
Cu4 0.500 0.346 0.295
Cu5 0.000 0.553 0.428
Cu6 0.500 0.871 0.440
Cu7 0.500 0.431 0.560
Cu8 0.000 0.125 0.572
Cu9 0.500 0.051 0.705
Cu10 0.500 0.582 0.854
Cu11 0.000 0.278 0.854
Sb1 0.500 0.164 0.000
Sb2 0.000 0.987 0.292
Sb3 0.000 0.695 0.708

***

Below is an optimized crystal structure of ZnHgPd2, with properties calculated at the PBE-GGA level.

## Properties
- calculated volume (Å³ per cell) = 66.22
- E_tot (eV per atom) = -3.17

Lattice parameters (Å, degrees): 4.541 4.541 4.541 60.00 60.00 60.00
Positions (direct):
Hg1 0.500 0.500 0.500
Pd1 0.000 0.000 0.000
Pd2 0.750 0.750 0.750
Zn1 0.250 0.250 0.250

***

Below is an optimized crystal structure of Zr2Mo, with properties calculated at the PBE-GGA level.

## Properties
- calculated volume (Å³ per cell) = 359.02
- ΔE to the lowest computed polymorph (eV/atom) = 2.351
- E_tot (eV per atom) = -6.95

Lattice parameters (Å, degrees): 7.978 7.978 7.978 60.00 60.00 60.00
Positions (direct):
Mo1 0.250 0.250 0.250
Mo2 0.500 0.500 0.500
Zr1 0.375 0.375 0.375
Zr2 0.875 0.375 0.375
Zr3 0.375 0.875 0.375
Zr4 0.375 0.375 0.875

***

Below is an optimized crystal structure of AcNi2Ir, with properties calculated at the PBE-GGA level.

## Properties
- calculated volume (Å³ per cell) = 78.24
- E_tot (eV per atom) = -6.40

Lattice parameters (Å, degrees): 4.261 4.261 5.550 112.55 112.55 60.00
Positions (direct):
Ac1 0.500 0.500 0.000
Ir1 0.000 0.000 0.500
Ni1 0.310 0.310 0.430
Ni2 0.690 0.690 0.570